# FeCoIr2, optimized geometry, DFT PBE
# **Volume**: 203.22 Å³ per cell
# **Calculated total energy**: -127.3 eV for the cell shown
# **Magnetization**: 0.00 Bohr magnetons per cell
# **Calculated formation energy**: 367 meV per atom
data_FeCoIr2
_cell_length_a 5.879
_cell_length_b 5.879
_cell_length_c 5.879
_cell_angle_alpha 90.00
_cell_angle_beta 90.00
_cell_angle_gamma 90.00
_space_group_name_H-M_alt 'F m -3 m'
_space_group_IT_number 225
_space_group_name_Hall '-F 4 2 3'
loop_
_atom_site_label
_atom_site_fract_x
_atom_site_fract_y
_atom_site_fract_z
Fe1 0.000 0.000 0.000
Co1 0.000 0.000 0.500
Ir1 0.250 0.250 0.250